Here is a relaxed Cs2H7Pb2 crystal from the Alexandria database. Energies are from PBE-GGA.

DFT total energy   -0.104 hartree per atom
D(E_F)   1.0 states/eV/cell

abc: 6.074 7.706 8.175
angles: 77.37 139.39 89.50
Element x y z (fractional)
Cs (0.521, 0.256, 0.177)
Cs (0.479, 0.744, 0.823)
H (0.300, 0.158, 0.710)
H (0.799, 0.343, 0.971)
H (0.700, 0.842, 0.290)
H (0.201, 0.657, 0.029)
H (0.000, 0.000, 0.000)
H (0.795, 0.493, 0.580)
H (0.205, 0.507, 0.420)
Pb (0.567, 0.259, 0.684)
Pb (0.433, 0.741, 0.316)